Entry a
DFT (GGA-PBE) results for an optimized crystal structure of SnPb2S.

Lattice parameters (Å, degrees): 7.5313 7.5313 7.5313 90.00 90.00 90.00
Space group Fm-3m (No. 225)
One atom of each set of equivalent atoms:
Sn 0.0000 0.0000 0.0000 x4
Pb 0.2500 0.2500 0.2500 x8
S 0.0000 0.0000 0.5000 x4

***

Entry b
DFT (GGA-PBE) results for an optimized crystal structure of SnPb2S.

Lattice parameters (Å, degrees): 6.4228 6.4228 14.7722 90.00 90.00 90.00
Space group I-42d (No. 122)
One atom of each set of equivalent atoms:
Sn 0.0000 0.0000 0.0000 x4
Pb 0.2212 0.2500 0.6250 x8
S 0.0000 0.0000 0.5000 x4

***

Entry c
DFT (GGA-PBE) results for an optimized crystal structure of SnPb2S.

Lattice parameters (Å, degrees): 3.6224 3.6224 31.6023 90.00 90.00 120.00
Space group R-3m (No. 166, hexagonal axes)
One atom of each set of equivalent atoms:
Sn 0.0000 0.0000 0.0000 x3
Pb 0.0000 0.0000 0.1043 x6
S 0.0000 0.0000 0.5000 x3

***

Most stable structure, least stable structure: entry c, entry b.

***

Entry a
DFT (GGA-PBE) results for an optimized crystal structure of Sn2PbS3.

Lattice parameters (Å, degrees): 7.0359 4.0971 10.9226 90.00 102.21 90.00
Space group P2_1/m (No. 11)
One atom of each set of equivalent atoms:
Sn 0.0191 0.2500 0.3253 x2
Sn 0.2454 0.2500 0.9986 x2
Pb 0.4684 0.2500 0.6651 x2
S 0.1261 0.7500 0.1565 x2
S 0.2418 0.7500 0.5011 x2
S 0.3519 0.7500 0.8399 x2

***

Entry b
DFT (GGA-PBE) results for an optimized crystal structure of Sn2PbS3.

Lattice parameters (Å, degrees): 13.4225 6.8412 7.2481 90.00 90.00 90.00
Space group Cmcm (No. 63)
One atom of each set of equivalent atoms:
Sn 0.1672 0.0000 0.0000 x8
Pb 0.0000 0.4306 0.2500 x4
S 0.0000 0.0171 0.2500 x4
S 0.2086 0.3149 0.2500 x8

***

Most stable structure, least stable structure: entry a, entry b.